Record 1
Computed, not measured: a geometry-optimized Te2RuAu structure at the PBE level of DFT.

Computed properties:
**Spin magnetization**: 0.00 μB per atom
**Final energy**: -4.478 eV/atom
**Formation energy (no corrections)**: 0.23 eV per atom

a b c (Å): 7.0498 7.0498 7.0498
angles (deg): 153.64 144.53 44.73
Sites, in units of the cell vectors:
Te  0.0000  0.0000  0.0000
Te  0.7194  0.2194  0.5000
Ru  0.1633  0.6633  0.5000
Au  0.3734  0.3734  0.0000



Record 2
Computed, not measured: a geometry-optimized Te2RuAu structure at the PBE level of DFT.

Computed properties:
**Spin magnetization**: 0.00 μB per atom
**Final energy**: -4.157 eV/atom
**Formation energy (no corrections)**: 0.55 eV per atom

a b c (Å): 12.0345 12.0345 12.0345
angles (deg): 14.55 14.55 14.55
Sites, in units of the cell vectors:
Te  0.0713  0.0713  0.0713
Te  0.9287  0.9287  0.9287
Ru  0.0000  0.0000  0.0000
Au  0.5000  0.5000  0.5000



Record 3
Computed, not measured: a geometry-optimized TeRu2Au structure at the PBE level of DFT.

Computed properties:
**Spin magnetization**: 0.00 μB per atom
**Final energy**: -5.849 eV/atom
**Formation energy (no corrections)**: 0.39 eV per atom

a b c (Å): 4.4080 4.4080 5.5760
angles (deg): 100.56 100.56 41.38
Sites, in units of the cell vectors:
Te  0.0000  0.0000  0.0000
Ru  0.2525  0.2525  0.7828
Ru  0.7475  0.7475  0.2172
Au  0.5000  0.5000  0.5000



Record 4
Computed, not measured: a geometry-optimized TeRu2Au structure at the PBE level of DFT.

Computed properties:
**Spin magnetization**: 0.00 μB per atom
**Final energy**: -5.758 eV/atom
**Formation energy (no corrections)**: 0.48 eV per atom

a b c (Å): 3.1210 4.1202 5.6083
angles (deg): 90.00 105.71 90.00
Sites, in units of the cell vectors:
Te  0.0000  0.0000  0.0000
Ru  0.1390  0.5000  0.7588
Ru  0.8610  0.5000  0.2412
Au  0.5000  0.0000  0.5000



Record 5
Computed, not measured: a geometry-optimized Te2RuAu structure at the PBE level of DFT.

Computed properties:
**Spin magnetization**: 0.00 μB per atom
**Final energy**: -4.475 eV/atom
**Formation energy (no corrections)**: 0.23 eV per atom

a b c (Å): 3.2546 3.2546 7.9013
angles (deg): 90.00 90.00 90.00
Sites, in units of the cell vectors:
Te  0.0000  0.0000  0.2131
Te  0.0000  0.0000  0.7869
Ru  0.5000  0.5000  0.0000
Au  0.5000  0.5000  0.5000



Record 6
Computed, not measured: a geometry-optimized Te2RuAu structure at the PBE level of DFT.

Computed properties:
**Spin magnetization**: 0.00 μB per atom
**Final energy**: -4.253 eV/atom
**Formation energy (no corrections)**: 0.46 eV per atom

a b c (Å): 4.9076 4.9076 3.4688
angles (deg): 90.00 90.00 100.16
Sites, in units of the cell vectors:
Te  0.0000  0.5000  0.0000
Te  0.5000  0.0000  0.0000
Ru  0.0000  0.0000  0.5000
Au  0.5000  0.5000  0.5000



Record 7
Computed, not measured: a geometry-optimized TeRu2Au structure at the PBE level of DFT.

Computed properties:
**Spin magnetization**: 0.18 μB per atom
**Final energy**: -5.672 eV/atom
**Formation energy (no corrections)**: 0.57 eV per atom

a b c (Å): 5.0809 5.0809 5.0809
angles (deg): 133.36 133.36 68.09
Sites, in units of the cell vectors:
Te  0.0000  0.0000  0.0000
Ru  0.5000  0.5000  0.0000
Ru  0.7500  0.2500  0.5000
Au  0.2500  0.7500  0.5000



Record 8
Computed, not measured: a geometry-optimized Te2RuAu structure at the PBE level of DFT.

Computed properties:
**Spin magnetization**: 0.00 μB per atom
**Final energy**: -4.566 eV/atom
**Formation energy (no corrections)**: 0.14 eV per atom

a b c (Å): 7.4596 7.4596 7.4596
angles (deg): 131.59 131.59 70.87
Sites, in units of the cell vectors:
Te  0.0955  0.6250  0.9705
Te  0.3750  0.3455  0.4705
Te  0.6545  0.1250  0.0295
Te  0.8750  0.9045  0.5295
Ru  0.0000  0.0000  0.0000
Ru  0.7500  0.2500  0.5000
Au  0.2500  0.7500  0.5000
Au  0.5000  0.5000  0.0000



| no. | DOS at the Fermi energy (states/eV/f.u.) |
| --- | --- |
| 1 | 3.98 |
| 2 | 2.89 |
| 3 | 3.40 |
| 4 | 4.00 |
| 5 | 3.53 |
| 6 | 3.24 |
| 7 | 5.93 |
| 8 | 3.56 |